First-principles (PBE) data for crystalline TcP2Pb at its relaxed geometry, as listed in Alexandria via LeMat-Bulk.

a b c (Å): 4.011 3.260 6.321
angles (deg): 90.00 106.45 90.00
Element x y z (fractional)
Tc1 0.000 0.000 0.000
P1 0.036 0.500 0.726
P2 0.432 0.000 0.778
Pb1 0.628 0.500 0.265

Computed properties:
Size of the total moment in μB per cell: 0.00
Energy of formation in eV/f.u.: 0.4
Calculated density in Mg/m³: 7.691
Crystal system: monoclinic